No. 1
Computed, not measured: a relaxed structure of PuUN at the PBE level of DFT.

The space group is P3m1, No. 156. The calculation puts the energy relative to the elements, uncorrected at -0.860 eV/atom. Its total DFT energy (no corrections) is -12.176 eV per atom. The total magnetization is 0.00 μB/f.u. Its crystal system is trigonal.

a = 3.395 Å, b = 3.395 Å, c = 4.410 Å
α = 90.00°, β = 90.00°, γ = 120.00°
Positions (direct):
1 Pu 0.000 0.000 0.000
2 U 0.333 0.667 0.663
3 N 0.667 0.333 0.328


No. 2
Computed, not measured: a relaxed structure of Ac3Zn2AgPd6 at the PBE level of DFT.

The space group is P-3m1, No. 164. Its total DFT energy (no corrections) is -4.650 eV per atom. The total magnetization is 0.00 μB/f.u. Its crystal system is trigonal. The value obtained for the energy of formation is -576 meV per atom.

a = 5.848 Å, b = 5.848 Å, c = 9.191 Å
α = 90.00°, β = 90.00°, γ = 120.00°
Positions (direct):
1 Ac 0.000 0.000 0.000
2 Ac 0.333 0.667 0.624
3 Ac 0.667 0.333 0.376
4 Zn 0.333 0.667 0.040
5 Zn 0.667 0.333 0.960
6 Ag 0.000 0.000 0.500
7 Pd 0.173 0.346 0.269
8 Pd 0.173 0.827 0.269
9 Pd 0.346 0.173 0.731
10 Pd 0.654 0.827 0.269
11 Pd 0.827 0.173 0.731
12 Pd 0.827 0.654 0.731


No. 3
Computed, not measured: a relaxed structure of Sc6BePd12 at the PBE level of DFT.

The space group is R-3, No. 148. Its total DFT energy (no corrections) is -6.211 eV per atom. The total magnetization is 0.00 μB/f.u. Its crystal system is trigonal. The value obtained for the energy of formation is -736 meV per atom.

a = 6.915 Å, b = 6.915 Å, c = 6.915 Å
α = 96.15°, β = 96.15°, γ = 96.15°
Positions (direct):
1 Sc 0.188 0.350 0.756
2 Sc 0.244 0.812 0.650
3 Sc 0.350 0.756 0.188
4 Sc 0.650 0.244 0.812
5 Sc 0.756 0.188 0.350
6 Sc 0.812 0.650 0.244
7 Be 0.500 0.500 0.500
8 Pd 0.014 0.705 0.949
9 Pd 0.051 0.986 0.295
10 Pd 0.160 0.466 0.399
11 Pd 0.295 0.051 0.986
12 Pd 0.399 0.160 0.466
13 Pd 0.466 0.399 0.160
14 Pd 0.534 0.601 0.840
15 Pd 0.601 0.840 0.534
16 Pd 0.705 0.949 0.014
17 Pd 0.840 0.534 0.601
18 Pd 0.949 0.014 0.705
19 Pd 0.986 0.295 0.051